This record from Alexandria via LeMat-Bulk describes a PBEsol-optimized structure of Li3Si2Ni2O8. The functional is SCAN.

The energy is -142.62 eV for the cell shown. The value obtained for the uncorrected formation energy is -213.73 kJ per mole of atoms.

Cell: 4.8958 5.2705 6.2947 Å, 88.73 89.72 89.28°
Fractional positions:
Li  0.0000  0.0000  0.0000
Li  0.0058  0.5135  0.7490
Li  0.4987  0.3470  0.5033
Si  0.4952  0.8521  0.7464
Si  0.9923  0.4952  0.2517
Ni  0.5087  0.3392  0.0006
Ni  0.9943  0.9988  0.4777
O  0.0708  0.7946  0.2506
O  0.1028  0.3540  0.4734
O  0.1140  0.3612  0.0341
O  0.1584  0.8624  0.7358
O  0.5992  0.5521  0.7603
O  0.6026  0.0033  0.9542
O  0.6188  0.9964  0.5354
O  0.6607  0.4568  0.2471

This record from Alexandria via LeMat-Bulk describes a PBEsol-optimized structure of Na2CuH4C4O10. The functional is SCAN.

The energy is -167.40 eV for the cell shown.

Cell: 3.5708 7.4657 9.4886 Å, 103.66 98.64 103.80°
Fractional positions:
Na  0.2006  0.3008  0.0754
Na  0.7994  0.6992  0.9246
Cu  0.5000  0.0000  0.5000
H  0.0218  0.4700  0.7018
H  0.1508  0.6794  0.6782
H  0.8492  0.3206  0.3218
H  0.9782  0.5300  0.2982
C  0.2355  0.0265  0.7548
C  0.4592  0.7798  0.2239
C  0.5408  0.2202  0.7761
C  0.7645  0.9735  0.2452
O  0.0661  0.0002  0.8559
O  0.1767  0.9020  0.6265
O  0.1938  0.6035  0.7483
O  0.3075  0.7650  0.3377
O  0.3744  0.6534  0.1035
O  0.6256  0.3466  0.8965
O  0.6925  0.2350  0.6623
O  0.8062  0.3965  0.2517
O  0.8233  0.0980  0.3735
O  0.9339  0.9998  0.1441